The following is a DFT calculation (PBE-GGA) of a geometry-optimized BSO structure.

a = 4.8158 Å, b = 11.1260 Å, c = 3.8105 Å
α = 90.00°, β = 96.33°, γ = 90.00°
Last column: nearest neighbours and their distance in Å.
Space group C2 (No. 5)
Inequivalent atoms, fractional coordinates:
B  0.2386  0.0000  0.4055  2 O 1.37-1.38
S  0.2124  0.8718  0.0861  1 B 1.87, 1 S 2.08
O  0.0000  0.0533  0.5000  2 B 1.38
O  0.0000  0.5467  0.5000  2 B 1.37

Summary:
N(E_F) (states/eV/cell): 0.00
Offset from the most stable computed form (eV/atom): 0.048
Spin magnetization (μB/atom): 0.000
Formation energy without anion corrections (eV/atom): -1.353
Total energy (eV/atom): -6.607

=====

The following is a DFT calculation (PBE-GGA) of a geometry-optimized Tl2ZnOs structure.

a = 3.3179 Å, b = 3.3179 Å, c = 7.7439 Å
α = 90.00°, β = 90.00°, γ = 90.00°
Last column: nearest neighbours and their distance in Å.
Space group P4mm (No. 99)
Inequivalent atoms, fractional coordinates:
Tl  0.0000  0.0000  0.0000  1 Zn 2.93, 4 Os 3.00
Tl  0.5000  0.5000  0.3478  4 Zn 3.16, 1 Os 3.18, 4 Tl 3.32
Zn  0.0000  0.0000  0.6218  4 Os 2.57
Os  0.5000  0.5000  0.7579  4 Zn 2.57

Summary:
N(E_F) (states/eV/cell): 2.03
Offset from the most stable computed form (eV/atom): 0.000
Spin magnetization (μB/atom): 0.000
Total energy (eV/atom): -3.777

=====

The following is a DFT calculation (PBE-GGA) of a geometry-optimized AcDyAu2 structure.

a = 4.4488 Å, b = 4.4488 Å, c = 20.8416 Å
α = 90.00°, β = 90.00°, γ = 120.00°
Last column: nearest neighbours and their distance in Å.
Space group R-3m (No. 166, hexagonal axes)
Inequivalent atoms, fractional coordinates:
Ac  0.0000  0.0000  0.0000  6 Au 3.25
Dy  0.0000  0.0000  0.5000  6 Au 2.97
Au  0.0000  0.0000  0.2380  3 Dy 2.97, 3 Ac 3.25

Summary:
N(E_F) (states/eV/cell): 11.70
Offset from the most stable computed form (eV/atom): 0.098
Spin magnetization (μB/atom): 0.000
Total energy (eV/atom): -4.547

=====

The following is a DFT calculation (PBE-GGA) of a geometry-optimized SiPt3 structure.

a = 5.6774 Å, b = 7.6371 Å, c = 5.5823 Å
α = 90.00°, β = 90.00°, γ = 90.00°
Last column: nearest neighbours and their distance in Å.
Space group Pnma (No. 62)
Inequivalent atoms, fractional coordinates:
Si  0.0806  0.2500  0.0043  8 Pt 2.39-2.65
Pt  0.0069  0.7500  0.4181  2 Si 2.39-2.41
Pt  0.1879  0.5476  0.8087  3 Si 2.41-2.65

Summary:
N(E_F) (states/eV/cell): 4.97
Spin magnetization (μB/atom): 0.000
Formation energy without anion corrections (eV/atom): -0.523
Total energy (eV/atom): -6.409

=====

The following is a DFT calculation (PBE-GGA) of a geometry-optimized SrAl2Cr structure.

a = 4.5016 Å, b = 4.5016 Å, c = 17.3401 Å
α = 90.00°, β = 90.00°, γ = 120.00°
Last column: nearest neighbours and their distance in Å.
Space group R3m (No. 160, hexagonal axes)
Inequivalent atoms, fractional coordinates:
Sr  0.0000  0.0000  0.0000  4 Cr 3.28-3.61, 7 Al 3.34-3.60
Al  0.0000  0.0000  0.1925  3 Cr 2.73, 3 Al 2.73
Al  0.0000  0.0000  0.4769  3 Cr 2.60, 3 Al 2.73
Cr  0.0000  0.0000  0.8110  6 Al 2.60-2.73

Summary:
N(E_F) (states/eV/cell): 5.72
Offset from the most stable computed form (eV/atom): 0.056
Spin magnetization (μB/atom): 0.974
Total energy (eV/atom): -4.640

=====

The following is a DFT calculation (PBE-GGA) of a geometry-optimized Nd3Ni5H12 structure.

a = 11.5187 Å, b = 11.5187 Å, c = 11.5187 Å
α = 90.00°, β = 90.00°, γ = 90.00°
Last column: nearest neighbours and their distance in Å.
Space group Ia-3d (No. 230)
Inequivalent atoms, fractional coordinates:
Nd  0.0000  0.2500  0.1250  8 H 2.36-2.46
Ni  0.0000  0.0000  0.0000  6 H 1.72
Ni  0.0000  0.2500  0.3750  4 H 1.68
H  0.0415  0.0410  0.6377  2 Ni 1.68-1.72

Summary:
N(E_F) (states/eV/cell): 60.49
Spin magnetization (μB/atom): 0.000
Total energy (eV/atom): -4.410

=====

The following is a DFT calculation (PBE-GGA) of a geometry-optimized CdB3Os structure.

a = 4.1649 Å, b = 4.1649 Å, c = 4.1649 Å
α = 90.00°, β = 90.00°, γ = 90.00°
Last column: nearest neighbours and their distance in Å.
Space group Pm-3m (No. 221)
Inequivalent atoms, fractional coordinates:
Cd  0.0000  0.0000  0.0000  12 B 2.95
B  0.0000  0.5000  0.5000  2 Os 2.08
Os  0.5000  0.5000  0.5000  6 B 2.08

Summary:
N(E_F) (states/eV/cell): 3.37
Offset from the most stable computed form (eV/atom): 0.000
Spin magnetization (μB/atom): 0.000
Total energy (eV/atom): -5.507

=====

The following is a DFT calculation (PBE-GGA) of a geometry-optimized Ba6ZnN2 structure.

a = 15.0654 Å, b = 5.3006 Å, c = 10.3824 Å
α = 90.00°, β = 107.57°, γ = 90.00°
Last column: nearest neighbours and their distance in Å.
Space group C2/m (No. 12)
Inequivalent atoms, fractional coordinates:
Ba  0.0664  0.0000  0.2125  1 N 2.57
Ba  0.1546  0.5000  0.6291  1 N 2.55
Ba  0.1919  0.5000  0.0537  3 N 2.80
Zn  0.0000  0.0000  0.5000  6 Ba 3.42-3.52
N  0.2172  0.0000  0.1449  5 Ba 2.55-2.80

Summary:
N(E_F) (states/eV/cell): 8.82
Spin magnetization (μB/atom): 0.000
Formation energy without anion corrections (eV/atom): -0.235
Total energy (eV/atom): -3.508

=====

The following is a DFT calculation (PBE-GGA) of a geometry-optimized Pr2CuNi3Sn4 structure.

a = 4.4748 Å, b = 4.4748 Å, c = 10.2831 Å
α = 90.00°, β = 90.00°, γ = 90.00°
Last column: nearest neighbours and their distance in Å.
Space group P-4m2 (No. 115)
Inequivalent atoms, fractional coordinates:
Pr  0.0000  0.5000  0.2413  6 Ni 3.34-3.45, 2 Cu 3.34, 8 Sn 3.36-3.48
Cu  0.5000  0.5000  0.0000  4 Sn 2.61
Ni  0.0000  0.0000  0.0000  4 Sn 2.61
Ni  0.0000  0.5000  0.6246  5 Sn 2.52-2.58
Sn  0.0000  0.0000  0.5000  4 Ni 2.58
Sn  0.0000  0.5000  0.8696  3 Ni 2.52-2.61, 2 Cu 2.61
Sn  0.5000  0.5000  0.5000  4 Ni 2.58

Summary:
N(E_F) (states/eV/cell): 5.13
Spin magnetization (μB/atom): 0.000
Total energy (eV/atom): -5.220

=====

The following is a DFT calculation (PBE-GGA) of a geometry-optimized Ce4CN2O structure.

a = 5.0645 Å, b = 5.0645 Å, c = 10.1655 Å
α = 90.00°, β = 90.00°, γ = 90.00°
Last column: nearest neighbours and their distance in Å.
Space group I4/mmm (No. 139)
Inequivalent atoms, fractional coordinates:
Ce  0.0000  0.0000  0.2504  4 N 2.53, 1 O 2.54, 1 C 2.55
Ce  0.0000  0.5000  0.0000  2 O 2.53, 2 C 2.53, 2 N 2.54
C  0.0000  0.0000  0.0000  6 Ce 2.53-2.55
N  0.0000  0.5000  0.2500  6 Ce 2.53-2.54
O  0.0000  0.0000  0.5000  6 Ce 2.53-2.54

Summary:
N(E_F) (states/eV/cell): 20.98
Spin magnetization (μB/atom): 0.000
Formation energy without anion corrections (eV/atom): -1.538
Total energy (eV/atom): -8.359

=====

The following is a DFT calculation (PBE-GGA) of a geometry-optimized TbPm5Mg structure.

a = 11.0061 Å, b = 6.5923 Å, c = 12.9119 Å
α = 90.00°, β = 97.73°, γ = 90.00°
Last column: nearest neighbours and their distance in Å.
Space group C2/c (No. 15)
Inequivalent atoms, fractional coordinates:
Tb  0.0000  0.2349  0.2500  6 Pm 3.17-3.43
Pm  0.0000  0.2848  0.7500  2 Tb 3.17-3.43, 4 Pm 3.32-3.45, 2 Mg 3.53
Pm  0.1661  0.0286  0.5668  5 Pm 3.31-3.62, 1 Tb 3.62, 1 Mg 3.65
Pm  0.2449  0.4673  0.1659  1 Mg 3.22, 5 Pm 3.31-3.57, 2 Tb 3.37-3.40
Mg  0.0000  0.5000  0.0000  4 Pm 3.22-3.53

Summary:
N(E_F) (states/eV/cell): 37.32
Spin magnetization (μB/atom): 0.000
Total energy (eV/atom): -4.128

=====

The following is a DFT calculation (PBE-GGA) of a geometry-optimized K2ThBiS4 structure.

a = 7.9084 Å, b = 4.1666 Å, c = 8.0855 Å
α = 90.00°, β = 114.63°, γ = 90.00°
Last column: nearest neighbours and their distance in Å.
Space group P2/m (No. 10)
Inequivalent atoms, fractional coordinates:
K  0.0000  0.0000  0.0000  4 S 3.24
K  0.0000  0.5000  0.5000  6 S 3.14-3.25
Th  0.5000  0.0000  0.5000  6 S 2.79-2.84
Bi  0.5000  0.5000  0.0000  4 S 2.87
S  0.2683  0.5000  0.3027  2 Th 2.79
S  0.3237  0.0000  0.7420  1 Th 2.84, 2 Bi 2.87

Summary:
N(E_F) (states/eV/cell): 0.73
Spin magnetization (μB/atom): 0.125
Formation energy without anion corrections (eV/atom): -1.259
Total energy (eV/atom): -5.009

=====

The following is a DFT calculation (PBE-GGA) of a geometry-optimized Sr3Ac2HoTe6 structure.

a = 20.4210 Å, b = 4.6269 Å, c = 9.4116 Å
α = 90.00°, β = 104.30°, γ = 90.00°
Last column: nearest neighbours and their distance in Å.
Space group C2/m (No. 12)
Inequivalent atoms, fractional coordinates:
Sr  0.0000  0.0000  0.0000  6 Te 3.26-3.43
Sr  0.1701  0.5000  0.3355  6 Te 3.26-3.39
Ac  0.1667  0.5000  0.8347  6 Te 3.33-3.35
Ho  0.0000  0.0000  0.5000  6 Te 3.14-3.18
Te  0.0023  0.5000  0.2697  2 Ho 3.18, 3 Sr 3.33-3.43, 1 Ac 3.35
Te  0.1588  0.0000  0.5759  1 Ho 3.14, 3 Sr 3.28-3.39, 2 Ac 3.33
Te  0.1647  0.0000  0.0881  3 Sr 3.26, 3 Ac 3.33-3.34

Summary:
N(E_F) (states/eV/cell): 10.29
Spin magnetization (μB/atom): 0.000
Formation energy without anion corrections (eV/atom): -1.542
Total energy (eV/atom): -4.599

=====

The following is a DFT calculation (PBE-GGA) of a geometry-optimized Er7In5 structure.

a = 17.0959 Å, b = 3.5734 Å, c = 12.2375 Å
α = 90.00°, β = 118.65°, γ = 90.00°
Last column: nearest neighbours and their distance in Å.
Space group C2/m (No. 12)
Inequivalent atoms, fractional coordinates:
Er  0.0000  0.0000  0.0000  6 In 3.26-3.33, 6 Er 3.32-3.57
Er  0.0347  0.5000  0.2483  4 In 3.23-3.40, 8 Er 3.32-3.57
Er  0.1396  0.0000  0.7598  7 In 3.30-3.42, 5 Er 3.34-3.57
Er  0.1663  0.0000  0.5066  5 In 3.25-3.37, 7 Er 3.34-3.57
In  0.0000  0.5000  0.5000  10 Er 3.33-3.42, 2 In 3.57
In  0.1588  0.5000  0.9980  6 Er 3.23-3.30, 6 In 3.40-3.57
In  0.1985  0.0000  0.2557  8 Er 3.25-3.38, 4 In 3.40-3.57

Summary:
N(E_F) (states/eV/cell): 26.48
Spin magnetization (μB/atom): 0.061
Total energy (eV/atom): -4.029

=====

The following is a DFT calculation (PBE-GGA) of a geometry-optimized Cu2SiPd2 structure.

a = 6.1856 Å, b = 6.1856 Å, c = 3.9053 Å
α = 90.00°, β = 90.00°, γ = 90.00°
Last column: nearest neighbours and their distance in Å.
Space group P4/mbm (No. 127)
Inequivalent atoms, fractional coordinates:
Cu  0.1482  0.3518  0.0000  1 Cu 2.59, 6 Pd 2.61-2.71
Si  0.0000  0.0000  0.5000  4 Pd 2.34
Pd  0.1546  0.6546  0.5000  2 Si 2.34, 2 Cu 2.61

Summary:
N(E_F) (states/eV/cell): 4.77
Spin magnetization (μB/atom): 0.000
Formation energy without anion corrections (eV/atom): -0.130
Total energy (eV/atom): -4.931

=====

The following is a DFT calculation (PBE-GGA) of a geometry-optimized CoGeSe structure.

a = 9.7244 Å, b = 11.9974 Å, c = 6.7715 Å
α = 90.00°, β = 90.00°, γ = 90.00°
Last column: nearest neighbours and their distance in Å.
Space group Fdd2 (No. 43)
Inequivalent atoms, fractional coordinates:
Co  0.0063  0.2426  0.0000  3 Se 2.31-2.34, 3 Ge 2.40-2.46
Ge  0.0926  0.0742  0.4977  3 Co 2.40-2.46, 1 Ge 2.53
Se  0.1109  0.0667  0.0023  3 Co 2.31-2.34

Summary:
N(E_F) (states/eV/cell): 21.45
Spin magnetization (μB/atom): 0.000
Formation energy without anion corrections (eV/atom): -0.176
Total energy (eV/atom): -5.245

=====

The following is a DFT calculation (PBE-GGA) of a geometry-optimized AlRuRh2 structure.

a = 2.8799 Å, b = 4.3731 Å, c = 8.9272 Å
α = 90.00°, β = 90.00°, γ = 90.00°
Last column: nearest neighbours and their distance in Å.
Space group Imm2 (No. 44)
Inequivalent atoms, fractional coordinates:
Al  0.0000  0.0000  0.0000  6 Rh 2.46-2.62, 2 Ru 2.50
Ru  0.0000  0.5000  0.2714  2 Al 2.50, 6 Rh 2.65-2.79
Rh  0.0000  0.0000  0.5037  4 Al 2.62, 2 Ru 2.79, 4 Rh 2.88
Rh  0.0000  0.5000  0.7237  2 Al 2.46, 4 Ru 2.65

Summary:
N(E_F) (states/eV/cell): 10.43
Spin magnetization (μB/atom): 0.001
Total energy (eV/atom): -7.228

=====

The following is a DFT calculation (PBE-GGA) of a geometry-optimized CrFeTcAs structure.

a = 5.8980 Å, b = 5.8980 Å, c = 5.8980 Å
α = 90.00°, β = 90.00°, γ = 90.00°
Last column: nearest neighbours and their distance in Å.
Space group F-43m (No. 216)
Inequivalent atoms, fractional coordinates:
Cr  0.0000  0.0000  0.0000  4 Fe 2.55, 4 Tc 2.55
Fe  0.2500  0.2500  0.2500  4 As 2.55, 4 Cr 2.55
Tc  0.2500  0.2500  0.7500  4 Cr 2.55, 4 As 2.55
As  0.0000  0.0000  0.5000  4 Fe 2.55, 4 Tc 2.55

Summary:
N(E_F) (states/eV/cell): 7.94
Spin magnetization (μB/atom): 0.504
Total energy (eV/atom): -8.252

=====

The following is a DFT calculation (PBE-GGA) of a geometry-optimized Tl2HgF structure.

a = 3.7023 Å, b = 3.7023 Å, c = 26.6433 Å
α = 90.00°, β = 90.00°, γ = 120.00°
Last column: nearest neighbours and their distance in Å.
Space group R-3m (No. 166, hexagonal axes)
Inequivalent atoms, fractional coordinates:
Tl  0.0000  0.0000  0.2343  3 F 2.80
Hg  0.0000  0.0000  0.0000  6 Tl 3.40, 6 Hg 3.70
F  0.0000  0.0000  0.5000  6 Tl 2.80

Summary:
N(E_F) (states/eV/cell): 1.83
Offset from the most stable computed form (eV/atom): 0.000
Spin magnetization (μB/atom): 0.000
Formation energy without anion corrections (eV/atom): -0.799
Total energy (eV/atom): -2.525

=====

The following is a DFT calculation (PBE-GGA) of a geometry-optimized KPIrAuO structure.

a = 11.1517 Å, b = 3.1723 Å, c = 5.5890 Å
α = 90.00°, β = 109.17°, γ = 90.00°
Last column: nearest neighbours and their distance in Å.
Space group Cm (No. 8)
Inequivalent atoms, fractional coordinates:
K  0.0000  0.0000  0.0000  2 O 2.63
P  0.2689  0.5000  0.3549  1 O 1.58
Ir  0.1985  0.5000  0.6694  1 P 2.15, 1 O 2.19
Au  0.4445  0.0000  0.4533  2 P 2.44, 1 Ir 2.69
O  0.1955  0.5000  0.0596  1 P 1.58

Summary:
N(E_F) (states/eV/cell): 2.51
Offset from the most stable computed form (eV/atom): 0.380
Spin magnetization (μB/atom): 0.000
Formation energy without anion corrections (eV/atom): -0.411
Total energy (eV/atom): -5.131